Density functional theory data (PBE-GGA) for crystalline Zn2FeAs at its relaxed geometry.

Unit cell a=3.2494 b=3.2494 c=5.3938 alpha=90.00 beta=90.00 gamma=90.00
Closest atoms and distances in Å follow each position.
Space group P4mm (No. 99)
One atom of each set of equivalent atoms:
Zn: 0.0000 0.0000 0.0000 x1  1 As 2.52, 4 Zn 2.62, 4 Fe 2.72
Zn: 0.5000 0.5000 0.2336 x1  4 Zn 2.62, 2 Fe 2.68-2.72, 4 As 2.81
Fe: 0.5000 0.5000 0.7300 x1  4 As 2.53, 6 Zn 2.68-2.72
As: 0.0000 0.0000 0.5326 x1  5 Zn 2.52-2.81, 4 Fe 2.53

Values from the calculation:
M_tot, μB per formula unit: 1.45
ΔE_f, kJ per mole of atoms: 6.5

Density functional theory data (PBE-GGA) for crystalline Y4Th at its relaxed geometry.

Unit cell a=3.5850 b=3.5850 c=43.4866 alpha=90.00 beta=90.00 gamma=120.00
Closest atoms and distances in Å follow each position.
Space group R-3m (No. 166, hexagonal axes)
One atom of each set of equivalent atoms:
Y: 0.0000 0.0000 0.1015 x6  3 Th 3.51, 9 Y 3.59-3.62
Y: 0.0000 0.0000 0.3001 x6  12 Y 3.56-3.62
Th: 0.0000 0.0000 0.5000 x3  6 Y 3.51, 6 Th 3.59

Values from the calculation:
Energy relative to the lowest polymorph listed for this composition, eV/f.u.: 0.02
M_tot, μB per formula unit: 0.00
ΔE_f, kJ per mole of atoms: 2.0

Density functional theory data (PBE-GGA) for crystalline AcTb6Pm2Sm3 at its relaxed geometry.

Unit cell a=6.2964 b=10.9031 c=11.9621 alpha=90.00 beta=100.08 gamma=90.00
Closest atoms and distances in Å follow each position.
Space group C2/m (No. 12)
One atom of each set of equivalent atoms:
Ac: 0.0000 0.0000 0.0000 x2  6 Pm 3.63-3.64, 6 Tb 3.66
Tb: 0.2471 0.3322 0.7466 x8  3 Sm 3.57-3.59, 6 Tb 3.62-3.66, 2 Pm 3.64-3.65, 1 Ac 3.66
Tb: 0.2494 0.5000 0.2537 x4  3 Sm 3.57-3.59, 6 Tb 3.62-3.66, 2 Pm 3.65, 1 Ac 3.66
Pm: 0.0000 0.3333 0.0000 x4  3 Ac 3.63-3.64, 3 Pm 3.63, 6 Tb 3.64-3.65
Sm: 0.0000 0.1670 0.5000 x4  6 Tb 3.57-3.59, 6 Sm 3.63-3.64
Sm: 0.0000 0.5000 0.5000 x2  6 Tb 3.57-3.59, 6 Sm 3.63-3.64

Values from the calculation:
M_tot, μB per formula unit: 0.00
ΔE_f, kJ per mole of atoms: 2.2

Density functional theory data (PBE-GGA) for crystalline TbErTlAu at its relaxed geometry.

Unit cell a=3.6176 b=3.6176 c=7.6926 alpha=90.00 beta=90.00 gamma=90.00
Closest atoms and distances in Å follow each position.
Space group P4mm (No. 99)
One atom of each set of equivalent atoms:
Tb: 0.0000 0.0000 0.0000 x1  4 Au 3.17, 4 Tl 3.31, 1 Er 3.53
Er: 0.0000 0.0000 0.4592 x1  4 Au 3.05, 4 Tl 3.29
Tl: 0.5000 0.5000 0.7279 x1  4 Er 3.29, 4 Tb 3.31, 4 Tl 3.62
Au: 0.5000 0.5000 0.2427 x1  4 Er 3.05, 4 Tb 3.17

Values from the calculation:
Energy relative to the lowest polymorph listed for this composition, eV/f.u.: 0.00
M_tot, μB per formula unit: 0.00
ΔE_f, kJ per mole of atoms: -58.7

Density functional theory data (PBE-GGA) for crystalline CdBiPd4 at its relaxed geometry.

Unit cell a=7.6358 b=7.6358 c=7.6358 alpha=90.00 beta=90.00 gamma=90.00
Closest atoms and distances in Å follow each position.
Space group F-43m (No. 216)
One atom of each set of equivalent atoms:
Cd: 0.0000 0.0000 0.0000 x4  12 Pd 3.17, 4 Bi 3.31
Bi: 0.2500 0.2500 0.7500 x4  12 Pd 3.17, 4 Cd 3.31
Pd: 0.1252 0.1252 0.3748 x16  6 Pd 2.69-2.70

Values from the calculation:
Energy relative to the lowest polymorph listed for this composition, eV/f.u.: 0.68
M_tot, μB per formula unit: 0.00
ΔE_f, kJ per mole of atoms: -12.5

Density functional theory data (PBE-GGA) for crystalline Pr2HoTl3 at its relaxed geometry.

Unit cell a=3.8436 b=3.8436 c=11.8919 alpha=90.00 beta=90.00 gamma=90.00
Closest atoms and distances in Å follow each position.
Space group P4/mmm (No. 123)
One atom of each set of equivalent atoms:
Pr: 0.0000 0.0000 0.1730 x2  8 Tl 3.41-3.42
Ho: 0.0000 0.0000 0.5000 x1  8 Tl 3.27
Tl: 0.5000 0.5000 0.0000 x1  8 Pr 3.41
Tl: 0.5000 0.5000 0.3469 x2  4 Ho 3.27, 4 Pr 3.42, 1 Tl 3.64

Values from the calculation:
Energy relative to the lowest polymorph listed for this composition, eV/f.u.: 0.00
M_tot, μB per formula unit: 0.00
ΔE_f, kJ per mole of atoms: -36.6

Density functional theory data (PBE-GGA) for crystalline Li2BeCr at its relaxed geometry.

Unit cell a=3.3967 b=3.3967 c=4.3720 alpha=90.00 beta=90.00 gamma=90.00
Closest atoms and distances in Å follow each position.
Space group P4/mmm (No. 123)
One atom of each set of equivalent atoms:
Li: 0.0000 0.5000 0.0000 x2  4 Li 2.40
Be: 0.0000 0.0000 0.5000 x1  4 Cr 2.40
Cr: 0.5000 0.5000 0.5000 x1  4 Be 2.40

Values from the calculation:
M_tot, μB per formula unit: 2.49
ΔE_f, kJ per mole of atoms: 41.8

Density functional theory data (PBE-GGA) for crystalline Ac4HPd2 at its relaxed geometry.

Unit cell a=5.1485 b=5.1485 c=15.7777 alpha=90.00 beta=90.00 gamma=90.00
Closest atoms and distances in Å follow each position.
Space group I4/mmm (No. 139)
One atom of each set of equivalent atoms:
Ac: 0.0000 0.0000 0.1942 x4  1 Pd 2.93, 1 H 3.06
Ac: 0.0000 0.5000 0.0000 x4  2 H 2.57
H: 0.0000 0.0000 0.0000 x2  4 Ac 2.57
Pd: 0.0000 0.0000 0.3799 x4  5 Ac 2.93-3.20

Values from the calculation:
M_tot, μB per formula unit: 0.00
Final energy, eV for the cell shown: -66.25